Entry 1:
First-principles (PBE) data for Ca2Sm3Hg2 after structural relaxation, as listed in the Alexandria database.

ΔE_f	-0.21	eV per atom
size of the total moment	0.000	μB per atom

The structure in CIF format:
```
data_Ca2Sm3Hg2
_cell_length_a 11.9535
_cell_length_b 4.7603
_cell_length_c 8.6136
_cell_angle_alpha 90.00
_cell_angle_beta 112.89
_cell_angle_gamma 90.00
_space_group_name_H-M_alt 'C 1 2/m 1'
_space_group_IT_number 12
loop_
_space_group_symop_operation_xyz
'x,y,z'
'-x,-y,-z'
'-x,y,-z'
'x,-y,z'
'x+1/2,y+1/2,z'
'-x+1/2,-y+1/2,-z'
'-x+1/2,y+1/2,-z'
'x+1/2,-y+1/2,z'
loop_
_atom_site_label
_atom_site_type_symbol
_atom_site_fract_x
_atom_site_fract_y
_atom_site_fract_z
Ca1 Ca 0.1451 0.0000 0.2966
Sm1 Sm 0.0000 0.5000 0.5000
Sm2 Sm 0.1277 0.5000 0.9533
Hg1 Hg 0.1549 0.0000 0.7046
```

=====

Entry 2:
First-principles (PBE) data for Pr5GaAu4 after structural relaxation, as listed in the Alexandria database.

ΔE_f	-0.70	eV per atom
size of the total moment	0.000	μB per atom

The structure in CIF format:
```
data_Pr5GaAu4
_cell_length_a 3.7344
_cell_length_b 3.7344
_cell_length_c 18.7734
_cell_angle_alpha 90.00
_cell_angle_beta 90.00
_cell_angle_gamma 90.00
_space_group_name_H-M_alt 'P 4/m m m'
_space_group_IT_number 123
_space_group_name_Hall '-P 4 2'
loop_
_atom_site_label
_atom_site_type_symbol
_atom_site_fract_x
_atom_site_fract_y
_atom_site_fract_z
Pr1 Pr 0.0000 0.0000 0.0000
Pr2 Pr 0.0000 0.0000 0.2003
Pr3 Pr 0.0000 0.0000 0.4004
Ga1 Ga 0.5000 0.5000 0.5000
Au1 Au 0.5000 0.5000 0.0992
Au2 Au 0.5000 0.5000 0.3012
```

=====

Entry 3:
First-principles (PBE) data for Al4SiNi2 after structural relaxation, as listed in the Alexandria database.

size of the total moment	0.000	μB per atom
ΔE to the lowest computed polymorph	31.12	kJ per mole of atoms
uncorrected formation energy	1.7	kJ per mole of atoms

The structure in CIF format:
```
data_Al4SiNi2
_cell_length_a 3.8435
_cell_length_b 3.8435
_cell_length_c 9.1841
_cell_angle_alpha 90.00
_cell_angle_beta 90.00
_cell_angle_gamma 120.00
_space_group_name_H-M_alt 'P -3 m 1'
_space_group_IT_number 164
_space_group_name_Hall '-P 3 2"'
loop_
_atom_site_label
_atom_site_type_symbol
_atom_site_fract_x
_atom_site_fract_y
_atom_site_fract_z
Al1 Al 0.3333 0.6667 0.3263
Al2 Al 0.3333 0.6667 0.8584
Si1 Si 0.0000 0.0000 0.0000
Ni1 Ni 0.3333 0.6667 0.5881
```

=====

Entry 4:
First-principles (PBE) data for CdMoPb2 after structural relaxation, as listed in the Alexandria database.

ΔE_f	0.65	eV per atom
size of the total moment	0.463	μB per atom

The structure in CIF format:
```
data_CdMoPb2
_cell_length_a 4.3534
_cell_length_b 4.3534
_cell_length_c 9.8638
_cell_angle_alpha 90.00
_cell_angle_beta 90.00
_cell_angle_gamma 90.00
_space_group_name_H-M_alt 'I -4 m 2'
_space_group_IT_number 119
_space_group_name_Hall 'I -4 -2'
loop_
_atom_site_label
_atom_site_type_symbol
_atom_site_fract_x
_atom_site_fract_y
_atom_site_fract_z
Cd1 Cd 0.0000 0.0000 0.0000
Mo1 Mo 0.0000 0.5000 0.7500
Pb1 Pb 0.0000 0.0000 0.5000
Pb2 Pb 0.0000 0.5000 0.2500
```

=====

Entry 5:
First-principles (PBE) data for HgTePt2 after structural relaxation, as listed in the Alexandria database.

size of the total moment	0.000	μB per atom
ΔE to the lowest computed polymorph	16.06	kJ per mole of atoms
uncorrected formation energy	11.4	kJ per mole of atoms

The structure in CIF format:
```
data_HgTePt2
_cell_length_a 4.5372
_cell_length_b 4.5372
_cell_length_c 17.3550
_cell_angle_alpha 90.00
_cell_angle_beta 90.00
_cell_angle_gamma 90.00
_space_group_name_H-M_alt 'I -4 2 d'
_space_group_IT_number 122
_space_group_name_Hall 'I -4 2bw'
loop_
_atom_site_label
_atom_site_type_symbol
_atom_site_fract_x
_atom_site_fract_y
_atom_site_fract_z
Hg1 Hg 0.0000 0.0000 0.0000
Te1 Te 0.0000 0.0000 0.5000
Pt1 Pt 0.2059 0.2500 0.6250
```

=====

Entry 6:
First-principles (PBE) data for P2RhWS after structural relaxation, as listed in the Alexandria database.

size of the total moment	0.000	μB per atom
ΔE to the lowest computed polymorph	0.00	kJ per mole of atoms
uncorrected formation energy	77.7	kJ per mole of atoms

The structure in CIF format:
```
data_P2RhWS
_cell_length_a 4.6882
_cell_length_b 4.6882
_cell_length_c 4.5380
_cell_angle_alpha 90.00
_cell_angle_beta 90.00
_cell_angle_gamma 90.00
_space_group_name_H-M_alt 'P 4/m m m'
_space_group_IT_number 123
_space_group_name_Hall '-P 4 2'
loop_
_atom_site_label
_atom_site_type_symbol
_atom_site_fract_x
_atom_site_fract_y
_atom_site_fract_z
P1 P 0.0000 0.5000 0.0000
Rh1 Rh 0.0000 0.0000 0.5000
W1 W 0.5000 0.5000 0.0000
S1 S 0.5000 0.5000 0.5000
```

=====

Entry 7:
First-principles (PBE) data for PrMnH3 after structural relaxation, as listed in the Alexandria database.

size of the total moment	0.360	μB per atom
electronic total energy	-0.1870	hartree per atom

The structure in CIF format:
```
data_PrMnH3
_cell_length_a 3.6874
_cell_length_b 3.6874
_cell_length_c 3.6874
_cell_angle_alpha 90.00
_cell_angle_beta 90.00
_cell_angle_gamma 90.00
_space_group_name_H-M_alt 'P m -3 m'
_space_group_IT_number 221
_space_group_name_Hall '-P 4 2 3'
loop_
_atom_site_label
_atom_site_type_symbol
_atom_site_fract_x
_atom_site_fract_y
_atom_site_fract_z
Pr1 Pr 0.0000 0.0000 0.0000
Mn1 Mn 0.5000 0.5000 0.5000
H1 H 0.0000 0.5000 0.5000
```